(1)
{"formula": "SnBSb2", "functional": "meta-GGA SCAN", "state": "PBEsol geometry", "magnetic_moment_mub_per_fu": 0.00, "dos_ef_per_ev_atom": 0.38, "e_above_lowest_polymorph_ev_per_fu": 2.64, "e_tot_ev_per_atom": -28.37, "formation_energy_uncorrected_ev_per_atom": 1.097, "lattice": [[7.031, 0.000, 0.000], [0.000, 7.031, 0.000], [0.000, 0.000, 7.031]], "species": ["Sn", "Sn", "Sn", "Sn", "B", "B", "B", "B", "Sb", "Sb", "Sb", "Sb", "Sb", "Sb", "Sb", "Sb"], "fractional_positions": [[0.000, 0.000, 0.000], [0.000, 0.500, 0.500], [0.500, 0.000, 0.500], [0.500, 0.500, 0.000], [0.000, 0.000, 0.500], [0.000, 0.500, 0.000], [0.500, 0.000, 0.000], [0.500, 0.500, 0.500], [0.250, 0.250, 0.250], [0.250, 0.250, 0.750], [0.250, 0.750, 0.250], [0.250, 0.750, 0.750], [0.750, 0.250, 0.250], [0.750, 0.250, 0.750], [0.750, 0.750, 0.250], [0.750, 0.750, 0.750]]}

***

(2)
{"formula": "Ba6Ca6Cu9Hg3O25", "functional": "meta-GGA SCAN", "state": "PBEsol geometry", "magnetic_moment_mub_per_fu": 0.15, "dos_ef_per_ev_atom": 0.11, "e_tot_ev_per_atom": -18.06, "formation_energy_uncorrected_ev_per_atom": -1.890, "lattice": [[8.088, -2.691, 0.000], [8.088, 2.691, 0.000], [-5.392, 0.000, 15.814]], "species": ["Ba", "Ba", "Ba", "Ba", "Ba", "Ba", "Ca", "Ca", "Ca", "Ca", "Ca", "Ca", "Cu", "Cu", "Cu", "Cu", "Cu", "Cu", "Cu", "Cu", "Cu", "Hg", "Hg", "Hg", "O", "O", "O", "O", "O", "O", "O", "O", "O", "O", "O", "O", "O", "O", "O", "O", "O", "O", "O", "O", "O", "O", "O", "O", "O"], "fractional_positions": [[0.056, 0.056, 0.168], [0.275, 0.275, 0.825], [0.392, 0.392, 0.175], [0.608, 0.608, 0.825], [0.725, 0.725, 0.175], [0.944, 0.944, 0.832], [0.132, 0.132, 0.396], [0.200, 0.200, 0.601], [0.466, 0.466, 0.398], [0.534, 0.534, 0.602], [0.800, 0.800, 0.399], [0.868, 0.868, 0.604], [0.000, 0.000, 0.500], [0.066, 0.066, 0.698], [0.267, 0.267, 0.302], [0.333, 0.333, 0.500], [0.400, 0.400, 0.699], [0.600, 0.600, 0.301], [0.667, 0.667, 0.500], [0.733, 0.733, 0.698], [0.934, 0.934, 0.302], [0.161, 0.161, 0.000], [0.500, 0.500, 0.000], [0.839, 0.839, 0.000], [0.000, 0.000, 0.000], [0.000, 0.500, 0.500], [0.067, 0.563, 0.696], [0.101, 0.601, 0.303], [0.127, 0.127, 0.872], [0.167, 0.667, 0.500], [0.212, 0.212, 0.128], [0.234, 0.731, 0.696], [0.269, 0.766, 0.304], [0.333, 0.833, 0.500], [0.399, 0.899, 0.697], [0.437, 0.933, 0.304], [0.457, 0.457, 0.872], [0.500, 0.000, 0.500], [0.543, 0.543, 0.128], [0.563, 0.067, 0.696], [0.601, 0.101, 0.303], [0.667, 0.167, 0.500], [0.731, 0.234, 0.696], [0.766, 0.269, 0.304], [0.788, 0.788, 0.872], [0.833, 0.333, 0.500], [0.873, 0.873, 0.128], [0.899, 0.399, 0.697], [0.933, 0.437, 0.304]]}

***

(3)
{"formula": "NaCdFe2Cl", "functional": "meta-GGA SCAN", "state": "PBEsol geometry", "magnetic_moment_mub_per_fu": 4.46, "dos_ef_per_ev_atom": 0.92, "e_tot_ev_per_atom": -15.27, "formation_energy_uncorrected_ev_per_atom": 0.502, "lattice": [[4.210, 0.000, 0.000], [0.000, 4.210, 0.000], [0.000, 0.000, 4.911]], "species": ["Na", "Cd", "Fe", "Fe", "Cl"], "fractional_positions": [[0.000, 0.000, 0.000], [0.500, 0.500, 0.000], [0.000, 0.500, 0.500], [0.500, 0.000, 0.500], [0.000, 0.000, 0.500]]}